Entry from Alexandria: a relaxed structure of RbSn2Ru2 (PBE).

Lattice parameters (Å, degrees): 8.1713 8.1713 3.0846 90.00 90.00 90.00
With the nearest neighbours (Å) after each atom.
Atoms (fractional coordinates):
Rb1 0.0000 0.0000 0.0000  2 Rb 3.08, 4 Ru 3.16
Rb2 0.5000 0.5000 0.0000  2 Rb 3.08, 4 Ru 3.16
Sn1 0.1461 0.3539 0.5000  6 Ru 2.80-2.92, 2 Sn 3.08
Sn2 0.3539 0.8539 0.5000  6 Ru 2.80-2.92, 2 Sn 3.08
Sn3 0.6461 0.1461 0.5000  6 Ru 2.80-2.92, 2 Sn 3.08
Sn4 0.8539 0.6461 0.5000  6 Ru 2.80-2.92, 2 Sn 3.08
Ru1 0.1397 0.6397 0.0000  6 Sn 2.80-2.92, 2 Ru 3.08
Ru2 0.3603 0.1397 0.0000  6 Sn 2.80-2.92, 2 Ru 3.08
Ru3 0.6397 0.8603 0.0000  6 Sn 2.80-2.92, 2 Ru 3.08
Ru4 0.8603 0.3603 0.0000  6 Sn 2.80-2.92, 2 Ru 3.08

Values from the calculation:
VASP energy = -26.465 eV/f.u.
DOS(E_F) = 0.464 states/eV/atom
energy of formation = 0.2119 eV per atom
symmetry = No. 127
calculated volume = 205.96 Å³/cell